(1)
Here is an optimized crystal structure of CsCdBr3 from Alexandria. Energies are from PBE-GGA.

Lattice parameters (Å, degrees): 5.563 8.916 8.920 75.13 89.69 89.68
Space group P1 (No. 1)
Unique sites:
Cs 0.000 0.000 0.000 (multiplicity 1)
Cs 0.487 0.577 0.578 (multiplicity 1)
Cd 0.743 0.114 0.464 (multiplicity 1)
Cd 0.744 0.462 0.116 (multiplicity 1)
Br 0.504 0.121 0.711 (multiplicity 1)
Br 0.504 0.710 0.123 (multiplicity 1)
Br 0.505 0.188 0.189 (multiplicity 1)
Br 0.983 0.388 0.390 (multiplicity 1)
Br 0.983 0.455 0.868 (multiplicity 1)
Br 0.983 0.866 0.455 (multiplicity 1)

Values from the calculation:
Spin magnetization, μB per formula unit: 0.000
E above lowest polymorph, eV per atom: 0.011
Mass density, g/cm³: 3.77
E_form (uncorrected), eV/f.u.: -6.27

***

(2)
Here is an optimized crystal structure of CsCd2Br2 from Alexandria. Energies are from PBE-GGA.

Lattice parameters (Å, degrees): 4.242 4.242 19.236 90.00 90.00 90.00
Space group I4/mmm (No. 139)
Unique sites:
Cs 0.000 0.000 0.000 (multiplicity 2)
Cd 0.000 0.500 0.250 (multiplicity 4)
Br 0.000 0.000 0.389 (multiplicity 4)

Values from the calculation:
Spin magnetization, μB per formula unit: 0.000
E above lowest polymorph, eV per atom: 0.000
Mass density, g/cm³: 4.97
E_form (uncorrected), eV/f.u.: -3.92